1.
First-principles (GGA-PBE) data for an optimized crystal structure of YMgOs2, as listed in Alexandria.

abc: 2.8833 2.8833 9.0059
angles: 90.00 90.00 112.19
With the nearest neighbours (Å) after each atom.
Fractional coordinates of all 4 atoms:
Mg: 0.5000 0.5000 0.7500  4 Os 2.71, 4 Mg 2.88
Os: 0.0000 0.0000 0.9920  2 Mg 2.71, 2 Y 2.83, 4 Os 2.88
Os: 0.0000 0.0000 0.5080  2 Mg 2.71, 2 Y 2.83, 4 Os 2.88
Y: 0.5000 0.5000 0.2500  4 Os 2.83, 4 Y 2.88

Energy relative to the elements: 379 meV/atom
Calculated total energy: -7.250 eV/atom
Density of states at the Fermi level: 2.6 states/eV per cell
Symmetry: Cmmm (65)
Crystal system: orthorhombic
Magnetic moment: 0.0 μB/f.u.

---

2.
First-principles (GGA-PBE) data for an optimized crystal structure of Mg4TaMn, as listed in Alexandria.

abc: 5.4997 5.4997 5.4997
angles: 60.00 60.00 60.00
With the nearest neighbours (Å) after each atom.
Fractional coordinates of all 6 atoms:
Mg: 0.8757 0.3748 0.3748  6 Mg 2.75
Mg: 0.3748 0.3748 0.8757  6 Mg 2.75
Mg: 0.3748 0.8757 0.3748  6 Mg 2.75
Mg: 0.3748 0.3748 0.3748  6 Mg 2.75
Ta: 0.0000 0.0000 0.0000  12 Mg 3.22, 4 Mn 3.37
Mn: 0.7500 0.7500 0.7500  12 Mg 3.23, 4 Ta 3.37

Energy relative to the elements: 564 meV/atom
Calculated total energy: -4.003 eV/atom
Density of states at the Fermi level: 2.7 states/eV per cell
Symmetry: F-43m (216)
Crystal system: cubic
Magnetic moment: 0.7 μB/f.u.

---

3.
First-principles (GGA-PBE) data for an optimized crystal structure of InH3W, as listed in Alexandria.

abc: 3.6994 3.6994 3.6994
angles: 90.00 90.00 90.00
With the nearest neighbours (Å) after each atom.
Fractional coordinates of all 5 atoms:
H: 0.0000 0.5000 0.0000  2 In 1.85
H: 0.0000 0.0000 0.5000  2 In 1.85
H: 0.5000 0.0000 0.0000  2 In 1.85
W: 0.5000 0.5000 0.5000  12 H 2.62
In: 0.0000 0.0000 0.0000  6 H 1.85

Calculated total energy: -3.649 eV/atom
Energy above the most stable polymorph in this dataset: 1043 meV/atom
Density of states at the Fermi level: 2.3 states/eV per cell
Symmetry: Pm-3m (221)
Crystal system: cubic
Magnetic moment: 0.0 μB/f.u.

---

4.
First-principles (GGA-PBE) data for an optimized crystal structure of Dy3Ag2C, as listed in Alexandria.

abc: 5.0215 7.1781 7.6647
angles: 90.00 70.88 90.00
With the nearest neighbours (Å) after each atom.
Fractional coordinates of all 12 atoms:
Dy: 0.5001 0.2500 0.0000  2 C 2.51
Dy: 0.4999 0.7500 0.0000  2 C 2.51
Dy: 0.1196 0.0000 0.7608  2 C 2.49
Dy: 0.8804 0.5000 0.2392  2 C 2.49
Dy: 0.1196 0.5000 0.7608  2 C 2.49
Dy: 0.8804 0.0000 0.2392  2 C 2.49
Ag: 0.7035 0.7500 0.5922  2 Ag 2.84, 3 Dy 2.95-3.12
Ag: 0.7043 0.2500 0.5923  2 Ag 2.84, 3 Dy 2.95-3.12
Ag: 0.2957 0.7500 0.4078  2 Ag 2.84, 3 Dy 2.95-3.12
Ag: 0.2965 0.2500 0.4078  2 Ag 2.84, 3 Dy 2.95-3.12
C: 0.9998 0.7500 0.0000  6 Dy 2.49-2.51
C: 0.0002 0.2500 0.0000  6 Dy 2.49-2.51

Energy relative to the elements: -293 meV/atom
Calculated total energy: -5.082 eV/atom
Density of states at the Fermi level: 7.4 states/eV per cell
Symmetry: Cmmm (65)
Crystal system: orthorhombic
Magnetic moment: 0.0 μB/f.u.

---

5.
First-principles (GGA-PBE) data for an optimized crystal structure of KScPb2, as listed in Alexandria.

abc: 10.8596 10.8596 10.8596
angles: 19.34 19.34 19.34
With the nearest neighbours (Å) after each atom.
Fractional coordinates of all 4 atoms:
K: 0.7500 0.7500 0.7500  6 Pb 3.62, 6 K 3.65
Pb: 0.9910 0.9910 0.9910  3 Sc 3.18
Pb: 0.5090 0.5090 0.5090  3 Sc 3.18
Sc: 0.2500 0.2500 0.2500  6 Pb 3.18

Energy relative to the elements: -145 meV/atom
Calculated total energy: -3.856 eV/atom
Energy above the most stable polymorph in this dataset: 140 meV/atom
Density of states at the Fermi level: 3.1 states/eV per cell
Symmetry: R-3m (166)
Crystal system: trigonal
Magnetic moment: 0.0 μB/f.u.

---

6.
First-principles (GGA-PBE) data for an optimized crystal structure of CsBe2SnBr8, as listed in Alexandria.

abc: 6.6370 6.6370 11.3326
angles: 72.97 72.97 60.00
With the nearest neighbours (Å) after each atom.
Fractional coordinates of all 12 atoms:
Cs: 0.5000 0.5000 0.5000  12 Br 3.91-4.26
Be: 0.2581 0.2581 0.2257  4 Br 2.13-2.23
Be: 0.7419 0.7419 0.7743  4 Br 2.13-2.23
Sn: 0.0000 0.0000 0.0000  6 Br 2.86
Br: 0.1915 0.1915 0.4255  1 Be 2.13
Br: 0.5950 0.2863 0.1598  1 Be 2.23
Br: 0.8085 0.8085 0.5745  1 Be 2.13
Br: 0.9590 0.5950 0.1598  1 Be 2.23
Br: 0.0410 0.4050 0.8402  1 Be 2.23
Br: 0.2863 0.9590 0.1598  1 Be 2.23
Br: 0.7137 0.0410 0.8402  1 Be 2.23
Br: 0.4050 0.7137 0.8402  1 Be 2.23

Formation energy from raw total energies: -0.9903 eV per atom
Calculated total energy: -3.131 eV/atom
Density of states at the Fermi level: 6.7 states/eV per cell
Symmetry: R-3 (148)
Crystal system: trigonal
Magnetic moment: 0.0 μB/f.u.

---

7.
First-principles (GGA-PBE) data for an optimized crystal structure of BaAc4Ge4, as listed in Alexandria.

abc: 6.3572 10.3942 10.3942
angles: 90.00 90.00 90.00
With the nearest neighbours (Å) after each atom.
Fractional coordinates of all 18 atoms:
Ba: 0.0000 0.0000 0.0000  4 Ge 3.71
Ba: 0.5000 0.5000 0.5000  4 Ge 3.71
Ac: 0.3808 0.3582 0.8835  5 Ge 3.16-3.34
Ac: 0.8808 0.6165 0.8582  5 Ge 3.16-3.34
Ac: 0.3808 0.6418 0.1165  5 Ge 3.16-3.34
Ac: 0.1192 0.1418 0.6165  5 Ge 3.16-3.34
Ac: 0.6192 0.8835 0.6418  5 Ge 3.16-3.34
Ac: 0.1192 0.8582 0.3835  5 Ge 3.16-3.34
Ac: 0.8808 0.3835 0.1418  5 Ge 3.16-3.34
Ac: 0.6192 0.1165 0.3582  5 Ge 3.16-3.34
Ge: 0.6139 0.8057 0.3299  1 Ge 2.66
Ge: 0.6139 0.1943 0.6701  1 Ge 2.66
Ge: 0.1139 0.8299 0.6943  1 Ge 2.66
Ge: 0.8861 0.3057 0.8299  1 Ge 2.66
Ge: 0.8861 0.6943 0.1701  1 Ge 2.66
Ge: 0.3861 0.3299 0.1943  1 Ge 2.66
Ge: 0.3861 0.6701 0.8057  1 Ge 2.66
Ge: 0.1139 0.1701 0.3057  1 Ge 2.66

Energy relative to the elements: -476 meV/atom
Calculated total energy: -4.568 eV/atom
Density of states at the Fermi level: 12.4 states/eV per cell
Symmetry: P4_2/n (86)
Crystal system: tetragonal
Magnetic moment: 0.0 μB/f.u.

---

8.
First-principles (GGA-PBE) data for an optimized crystal structure of LiGa6Ni12, as listed in Alexandria.

abc: 6.6660 6.6660 6.6660
angles: 105.46 105.46 105.46
With the nearest neighbours (Å) after each atom.
Fractional coordinates of all 19 atoms:
Li: 0.0000 0.0000 0.0000  6 Ni 2.82
Ga: 0.7125 0.2797 0.2797  7 Ni 2.32-2.48
Ga: 0.2797 0.2797 0.7125  7 Ni 2.32-2.48
Ga: 0.2797 0.7125 0.2797  7 Ni 2.32-2.48
Ga: 0.7203 0.7203 0.2875  7 Ni 2.32-2.48
Ga: 0.2875 0.7203 0.7203  7 Ni 2.32-2.48
Ga: 0.7203 0.2875 0.7203  7 Ni 2.32-2.48
Ni: 0.8864 0.1136 0.5000  4 Ga 2.32-2.40, 3 Ni 2.41-2.57
Ni: 0.8549 0.6149 0.6149  4 Ga 2.44-2.62, 4 Ni 2.55-2.57
Ni: 0.6149 0.6149 0.8549  4 Ga 2.44-2.62, 4 Ni 2.55-2.57
Ni: 0.3851 0.1451 0.3851  4 Ga 2.44-2.62, 4 Ni 2.55-2.57
Ni: 0.3851 0.3851 0.1451  4 Ga 2.44-2.62, 4 Ni 2.55-2.57
Ni: 0.1451 0.3851 0.3851  4 Ga 2.44-2.62, 4 Ni 2.55-2.57
Ni: 0.1136 0.5000 0.8864  4 Ga 2.32-2.40, 3 Ni 2.41-2.57
Ni: 0.5000 0.8864 0.1136  4 Ga 2.32-2.40, 3 Ni 2.41-2.57
Ni: 0.1136 0.8864 0.5000  4 Ga 2.32-2.40, 3 Ni 2.41-2.57
Ni: 0.8864 0.5000 0.1136  4 Ga 2.32-2.40, 3 Ni 2.41-2.57
Ni: 0.5000 0.1136 0.8864  4 Ga 2.32-2.40, 3 Ni 2.41-2.57
Ni: 0.6149 0.8549 0.6149  4 Ga 2.44-2.62, 4 Ni 2.55-2.57

Energy relative to the elements: -103 meV/atom
Calculated total energy: -4.811 eV/atom
Density of states at the Fermi level: 13.7 states/eV per cell
Symmetry: R-3m (166)
Crystal system: trigonal
Magnetic moment: 0.0 μB/f.u.

---

9.
First-principles (GGA-PBE) data for an optimized crystal structure of BeRuPb2, as listed in Alexandria.

abc: 3.8484 3.8484 7.0824
angles: 73.66 73.66 59.97
With the nearest neighbours (Å) after each atom.
Fractional coordinates of all 4 atoms:
Pb: 0.9739 0.9739 0.0884  3 Be 2.90, 3 Ru 2.95
Pb: 0.7745 0.7745 0.6666  3 Ru 2.95, 3 Be 2.99
Ru: 0.5407 0.5407 0.3774  3 Be 2.22
Be: 0.2109 0.2109 0.3675  3 Ru 2.22

Energy relative to the elements: 231 meV/atom
Calculated total energy: -4.874 eV/atom
Energy above the most stable polymorph in this dataset: 61 meV/atom
Density of states at the Fermi level: 2.6 states/eV per cell
Symmetry: Cm (8)
Crystal system: monoclinic
Magnetic moment: 0.0 μB/f.u.

---

10.
First-principles (GGA-PBE) data for an optimized crystal structure of DyScPb, as listed in Alexandria.

abc: 4.4495 4.4495 8.2574
angles: 90.00 90.00 90.00
With the nearest neighbours (Å) after each atom.
Fractional coordinates of all 6 atoms:
Dy: 0.0000 0.5000 0.8409  5 Pb 3.20-3.23
Dy: 0.5000 0.0000 0.1591  5 Pb 3.20-3.23
Sc: 0.5000 0.5000 0.5000  4 Pb 3.14, 4 Sc 3.15
Sc: 0.0000 0.0000 0.5000  4 Pb 3.14, 4 Sc 3.15
Pb: 0.0000 0.5000 0.2316  4 Sc 3.14, 5 Dy 3.20-3.23
Pb: 0.5000 0.0000 0.7684  4 Sc 3.14, 5 Dy 3.20-3.23

Energy relative to the elements: -451 meV/atom
Calculated total energy: -5.331 eV/atom
Energy above the most stable polymorph in this dataset: 0 meV/atom
Density of states at the Fermi level: 5.7 states/eV per cell
Symmetry: P4/nmm (129)
Crystal system: tetragonal
Magnetic moment: 0.0 μB/f.u.

---

11.
First-principles (GGA-PBE) data for an optimized crystal structure of InSnSbCl, as listed in Alexandria.

abc: 5.3099 5.3099 5.3099
angles: 60.00 60.00 60.00
With the nearest neighbours (Å) after each atom.
Fractional coordinates of all 4 atoms:
Sb: 0.2500 0.2500 0.2500  4 In 3.25, 4 Sn 3.25
Cl: 0.7500 0.7500 0.7500  4 Sn 3.25, 4 In 3.25
Sn: 0.5000 0.5000 0.5000  4 Sb 3.25, 4 Cl 3.25
In: 0.0000 0.0000 0.0000  4 Cl 3.25, 4 Sb 3.25

Formation energy from raw total energies: -0.2376 eV per atom
Calculated total energy: -3.415 eV/atom
Density of states at the Fermi level: 2.8 states/eV per cell
Symmetry: F-43m (216)
Crystal system: cubic
Magnetic moment: 0.0 μB/f.u.

---

12.
First-principles (GGA-PBE) data for an optimized crystal structure of CeSmRh2, as listed in Alexandria.

abc: 5.6614 5.6464 11.3505
angles: 103.63 89.98 89.98
With the nearest neighbours (Å) after each atom.
Fractional coordinates of all 16 atoms:
Ce: 0.1292 0.4442 0.6370  6 Rh 2.81-3.11
Ce: 0.8708 0.5558 0.3630  6 Rh 2.81-3.11
Ce: 0.1289 0.0565 0.8630  6 Rh 2.82-3.12
Ce: 0.8711 0.9435 0.1370  6 Rh 2.82-3.12
Sm: 0.3716 0.0525 0.3575  5 Rh 2.86-2.98
Sm: 0.6284 0.9475 0.6425  5 Rh 2.86-2.98
Sm: 0.3714 0.4475 0.1426  5 Rh 2.86-2.98
Sm: 0.6286 0.5525 0.8574  5 Rh 2.86-2.98
Rh: 0.6395 0.0799 0.9129  3 Ce 2.82-3.12, 2 Rh 2.84-2.86, 3 Sm 2.88-2.98
Rh: 0.3605 0.9201 0.0871  3 Ce 2.82-3.12, 2 Rh 2.84-2.86, 3 Sm 2.88-2.98
Rh: 0.6401 0.4201 0.5870  3 Ce 2.82-3.11, 2 Rh 2.84-2.86, 3 Sm 2.88-2.98
Rh: 0.3599 0.5799 0.4130  3 Ce 2.82-3.11, 2 Rh 2.84-2.86, 3 Sm 2.88-2.98
Rh: 0.8730 0.4325 0.0993  3 Ce 2.82-2.91, 2 Sm 2.86-2.88, 2 Rh 2.86-2.92
Rh: 0.1270 0.5675 0.9007  3 Ce 2.82-2.91, 2 Sm 2.86-2.88, 2 Rh 2.86-2.92
Rh: 0.8731 0.0667 0.4006  3 Ce 2.81-2.91, 2 Sm 2.86-2.88, 2 Rh 2.86-2.92
Rh: 0.1269 0.9333 0.5994  3 Ce 2.81-2.91, 2 Sm 2.86-2.88, 2 Rh 2.86-2.92

Energy relative to the elements: -754 meV/atom
Calculated total energy: -7.093 eV/atom
Density of states at the Fermi level: 15.4 states/eV per cell
Symmetry: P2/c (13)
Crystal system: monoclinic
Magnetic moment: 0.2 μB/f.u.